[1]
Entry from the Alexandria database: a geometry-optimized Ce6Pt2CI3 structure (GGA-PBE).

Geometry as POSCAR:
```
Ce6Pt2CI3
1.0
3.552 -6.148 0.000
3.552 6.148 0.000
-2.350 0.000 7.920
Ce Pt C I
6 2 1 3
direct
0.061 0.359 0.181 Ce
0.236 0.236 0.815 Ce
0.359 0.061 0.181 Ce
0.641 0.939 0.819 Ce
0.764 0.764 0.185 Ce
0.939 0.641 0.819 Ce
0.334 0.666 0.000 Pt
0.666 0.334 0.000 Pt
0.000 0.000 0.000 C
0.172 0.828 0.500 I
0.500 0.500 0.500 I
0.828 0.172 0.500 I
```

Summary:
ΔE_f (raw) in eV/atom: -0.85
Density of states at the Fermi level in states/eV/f.u.: 29.0
Total magnetization in μB/f.u.: 6.940

---

[2]
Entry from the Alexandria database: a geometry-optimized Nd4DyTh3As8 structure (GGA-PBE).

Geometry as POSCAR:
```
Nd4DyTh3As8
1.0
4.248 2.453 6.940
-4.248 2.453 6.940
0.000 -4.906 6.940
Nd Dy Th As
4 1 3 8
direct
0.000 0.000 0.000 Nd
0.000 0.500 0.500 Nd
0.500 0.000 0.500 Nd
0.500 0.500 0.000 Nd
0.500 0.500 0.500 Dy
0.000 0.000 0.500 Th
0.000 0.500 0.000 Th
0.500 0.000 0.000 Th
0.249 0.249 0.249 As
0.251 0.747 0.747 As
0.253 0.253 0.749 As
0.253 0.749 0.253 As
0.747 0.251 0.747 As
0.747 0.747 0.251 As
0.749 0.253 0.253 As
0.751 0.751 0.751 As
```

Summary:
Density of states at the Fermi level in states/eV/f.u.: 6.0
Final energy in eV for the cell shown: -107.001
Total magnetization in μB/f.u.: 0.000

---

[3]
Entry from the Alexandria database: a geometry-optimized YSc2PtN structure (GGA-PBE).

Geometry as POSCAR:
```
YSc2PtN
1.0
4.323 0.000 0.000
0.000 4.323 0.000
0.000 0.000 4.845
Y Sc Pt N
1 2 1 1
direct
0.000 0.000 0.000 Y
0.000 0.500 0.500 Sc
0.500 0.000 0.500 Sc
0.500 0.500 0.000 Pt
0.000 0.000 0.500 N
```

Summary:
ΔE_f (raw) in eV/atom: -1.22
Density of states at the Fermi level in states/eV/f.u.: 4.0
Total magnetization in μB/f.u.: 0.000

---

[4]
Entry from the Alexandria database: a geometry-optimized SrZr2Sb structure (GGA-PBE).

Geometry as POSCAR:
```
SrZr2Sb
1.0
3.278 -4.853 0.000
3.278 4.853 0.000
0.000 0.000 3.280
Sr Zr Sb
1 2 1
direct
0.000 0.000 0.000 Sr
0.000 0.500 0.500 Zr
0.500 0.000 0.500 Zr
0.500 0.500 0.000 Sb
```

Summary:
ΔE_f (raw) in eV/atom: 0.21
Density of states at the Fermi level in states/eV/f.u.: 4.6
Total magnetization in μB/f.u.: 0.000

---

[5]
Entry from the Alexandria database: a geometry-optimized Sm2AlCo3Ni12 structure (GGA-PBE).

Geometry as POSCAR:
```
Sm2AlCo3Ni12
1.0
4.150 2.396 4.013
-4.150 2.396 4.013
0.000 -4.792 4.013
Sm Al Co Ni
2 1 3 12
direct
0.225 0.225 0.225 Sm
0.775 0.775 0.775 Sm
0.500 0.500 0.500 Al
0.000 0.500 0.500 Co
0.500 0.000 0.500 Co
0.500 0.500 0.000 Co
0.080 0.080 0.648 Ni
0.080 0.648 0.080 Ni
0.230 0.699 0.699 Ni
0.301 0.301 0.770 Ni
0.301 0.770 0.301 Ni
0.352 0.920 0.920 Ni
0.648 0.080 0.080 Ni
0.699 0.230 0.699 Ni
0.699 0.699 0.230 Ni
0.770 0.301 0.301 Ni
0.920 0.352 0.920 Ni
0.920 0.920 0.352 Ni
```

Summary:
Density of states at the Fermi level in states/eV/f.u.: 26.1
Final energy in eV for the cell shown: -103.281
Total magnetization in μB/f.u.: 8.023

---

[6]
Entry from the Alexandria database: a geometry-optimized RbNbSe3 structure (GGA-PBE).

Geometry as POSCAR:
```
RbNbSe3
1.0
6.505 -3.757 0.000
6.505 3.757 0.000
-0.013 0.000 6.076
Rb Nb Se
2 2 6
direct
0.167 0.167 0.250 Rb
0.833 0.833 0.750 Rb
0.500 0.500 0.000 Nb
0.500 0.500 0.500 Nb
0.173 0.663 0.250 Se
0.337 0.337 0.749 Se
0.337 0.827 0.750 Se
0.663 0.173 0.250 Se
0.663 0.663 0.251 Se
0.827 0.337 0.750 Se
```

Summary:
ΔE_f (raw) in eV/atom: -0.91
Density of states at the Fermi level in states/eV/f.u.: 2.6
ΔE to the lowest computed polymorph in kJ/mol of formula units: 0
Total magnetization in μB/f.u.: 0.000

---

[7]
Entry from the Alexandria database: a geometry-optimized LaTh4N4 structure (GGA-PBE).

Geometry as POSCAR:
```
LaTh4N4
1.0
5.829 -2.577 0.000
5.829 2.577 0.000
-5.815 0.000 5.833
La Th N
1 4 4
direct
0.000 0.000 0.000 La
0.191 0.191 0.799 Th
0.392 0.392 0.584 Th
0.608 0.608 0.416 Th
0.809 0.809 0.201 Th
0.101 0.101 0.415 N
0.314 0.314 0.213 N
0.686 0.686 0.787 N
0.899 0.899 0.585 N
```

Summary:
ΔE_f (raw) in eV/atom: -1.33
Density of states at the Fermi level in states/eV/f.u.: 5.6
Total magnetization in μB/f.u.: 0.000

---

[8]
Entry from the Alexandria database: a geometry-optimized ThSb2Au structure (GGA-PBE).

Geometry as POSCAR:
```
ThSb2Au
1.0
2.290 1.322 8.712
-2.290 1.322 8.712
0.000 -2.644 8.712
Th Sb Au
1 2 1
direct
0.000 0.000 0.000 Th
0.401 0.401 0.401 Sb
0.599 0.599 0.599 Sb
0.500 0.500 0.500 Au
```

Summary:
ΔE_f (raw) in eV/atom: -0.06
Density of states at the Fermi level in states/eV/f.u.: 5.4
Total magnetization in μB/f.u.: 0.000

---

[9]
Entry from the Alexandria database: a geometry-optimized BeFe2Br structure (GGA-PBE).

Geometry as POSCAR:
```
BeFe2Br
1.0
2.587 -3.678 0.000
2.587 3.678 0.000
0.000 0.000 2.902
Be Fe Br
1 2 1
direct
0.000 0.000 0.000 Be
0.000 0.500 0.500 Fe
0.500 0.000 0.500 Fe
0.500 0.500 0.000 Br
```

Summary:
ΔE_f (raw) in eV/atom: 0.78
Density of states at the Fermi level in states/eV/f.u.: 4.1
ΔE to the lowest computed polymorph in kJ/mol of formula units: 201
Total magnetization in μB/f.u.: 5.478

---

[10]
Entry from the Alexandria database: a geometry-optimized UCdBr6 structure (GGA-PBE).

Geometry as POSCAR:
```
UCdBr6
1.0
3.504 2.023 6.447
-3.504 2.023 6.447
0.000 -4.046 6.447
U Cd Br
1 1 6
direct
0.000 0.000 0.000 U
0.500 0.500 0.500 Cd
0.091 0.404 0.755 Br
0.245 0.909 0.596 Br
0.404 0.755 0.091 Br
0.596 0.245 0.909 Br
0.755 0.091 0.404 Br
0.909 0.596 0.245 Br
```

Summary:
ΔE_f (raw) in eV/atom: -1.08
Density of states at the Fermi level in states/eV/f.u.: 4.0
ΔE to the lowest computed polymorph in kJ/mol of formula units: 20
Total magnetization in μB/f.u.: 2.000